Record 1
{"formula": "LiMn5O8", "functional": "SCAN", "state": "single point on PBEsol structure", "cell": [[-5.685, 5.327, -2.686], [-5.703, -3.765, 4.605], [1.750, 5.036, 6.284]], "species": ["O", "O", "O", "Mn", "Mn", "Mn", "O", "Mn", "O", "Mn", "O", "Mn", "Mn", "Li", "O", "O", "Mn", "Mn", "O", "O", "O", "O", "O", "Mn", "O", "O", "O", "O", "O", "Li", "O", "O", "O", "Mn", "O", "O", "O", "O", "Li", "O", "Mn", "O", "Mn", "Mn", "O", "O", "Mn", "Mn", "O", "Mn", "Mn", "Mn", "Li", "O", "Mn", "O"], "frac_coords": [[0.108, 0.101, 0.874], [0.358, 0.624, 0.649], [0.642, 0.124, 0.851], [0.756, 0.256, 0.244], [0.506, 0.506, 0.506], [0.006, 0.994, 0.494], [0.366, 0.366, 0.366], [0.994, 0.494, 0.006], [0.876, 0.351, 0.858], [0.494, 0.006, 0.994], [0.649, 0.358, 0.624], [0.621, 0.629, 0.125], [0.744, 0.744, 0.744], [0.125, 0.125, 0.125], [0.626, 0.892, 0.601], [0.392, 0.899, 0.374], [0.121, 0.871, 0.875], [0.879, 0.371, 0.625], [0.858, 0.876, 0.351], [0.101, 0.874, 0.108], [0.899, 0.374, 0.392], [0.608, 0.399, 0.126], [0.884, 0.884, 0.884], [0.379, 0.129, 0.375], [0.866, 0.134, 0.634], [0.124, 0.851, 0.642], [0.149, 0.142, 0.376], [0.376, 0.149, 0.142], [0.134, 0.634, 0.866], [0.375, 0.875, 0.625], [0.142, 0.376, 0.149], [0.399, 0.126, 0.608], [0.384, 0.616, 0.116], [0.244, 0.756, 0.256], [0.851, 0.642, 0.124], [0.116, 0.384, 0.616], [0.601, 0.626, 0.892], [0.351, 0.858, 0.876], [0.875, 0.625, 0.375], [0.374, 0.392, 0.899], [0.625, 0.879, 0.371], [0.616, 0.116, 0.384], [0.371, 0.625, 0.879], [0.375, 0.379, 0.129], [0.634, 0.866, 0.134], [0.892, 0.601, 0.626], [0.129, 0.375, 0.379], [0.875, 0.121, 0.871], [0.624, 0.649, 0.358], [0.871, 0.875, 0.121], [0.125, 0.621, 0.629], [0.629, 0.125, 0.621], [0.625, 0.375, 0.875], [0.874, 0.108, 0.101], [0.256, 0.244, 0.756], [0.126, 0.608, 0.399]], "formation_energy_uncorrected_kj_per_mol_fu": -2926, "e_tot_ev_per_atom": -12.42}


Record 2
{"formula": "Zn3Cu", "functional": "SCAN", "state": "single point on PBEsol structure", "cell": [[2.729, 0.000, 0.000], [0.000, 4.215, 0.000], [0.000, 0.000, 4.525]], "species": ["Cu", "Zn", "Zn", "Zn"], "frac_coords": [[0.000, 0.000, 0.997], [0.500, 0.000, 0.497], [0.000, 0.500, 0.331], [0.500, 0.500, 0.842]], "e_form_mev_per_atom": -70, "e_tot_ev_per_atom": -14.01}